# 1
Compound: PuMgNiO6
Source: the Alexandria database
Functional: PBE+U
Structure: relaxed

The calculation puts the total energy at -130.37 eV/cell.

It has space group P-31c (No. 163), with a = 5.1817 Å, b = 5.1817 Å, c = 9.1621 Å, α = 90.00°, β = 90.00° and γ = 120.00°. Symmetry generates all atoms from Pu at (0.3333, 0.6667, 0.2500), Mg at (0.0000, 0.0000, 0.0000), Ni at (0.3333, 0.6667, 0.7500) and O at (0.0102, 0.3463, 0.1320).

***

# 2
Compound: Mg2NiRhO4
Source: the Alexandria database
Functional: PBE+U
Structure: relaxed

The calculation puts the total energy at -91.34 eV/cell.

It has space group I-4m2 (No. 119), with a = 4.363 Å, b = 4.363 Å, c = 8.431 Å, α = 90.00°, β = 90.00° and γ = 90.00°. Symmetry generates all atoms from Mg at (0.000, 0.000, 0.000), Mg at (0.000, 0.500, 0.250), Ni at (0.000, 0.500, 0.750), Rh at (0.000, 0.000, 0.500), O at (0.000, 0.000, 0.244) and O at (0.000, 0.500, 0.501).

***

# 3
Compound: MgNiRhO4
Source: the Alexandria database
Functional: PBE+U
Structure: relaxed

The calculation puts the total energy at -164.00 eV/cell.

It has space group Imma (No. 74), with a = 5.940 Å, b = 6.122 Å, c = 8.580 Å, α = 90.00°, β = 90.00° and γ = 90.00°. Symmetry generates all atoms from Mg at (0.000, 0.250, 0.137), Ni at (0.250, 0.250, 0.750), Rh at (0.000, 0.000, 0.500), O at (0.000, 0.021, 0.734) and O at (0.229, 0.250, 0.502).

***

# 4
Compound: MgNi2RhO4
Source: the Alexandria database
Functional: PBE+U
Structure: relaxed

The calculation puts the total energy at -43.00 eV/cell.

It has space group P2/m (No. 10), with a = 5.586 Å, b = 2.831 Å, c = 5.788 Å, α = 90.00°, β = 113.94° and γ = 90.00°. Symmetry generates all atoms from Mg at (0.000, 0.000, 0.000), Ni at (0.000, 0.000, 0.500), Ni at (0.500, 0.500, 0.000), Rh at (0.500, 0.500, 0.500), O at (0.097, 0.500, 0.782) and O at (0.402, 0.000, 0.219).

***

# 5
Compound: MgNiS2O8
Source: the Alexandria database
Functional: PBE+U
Structure: relaxed

The calculation puts the total energy at -70.30 eV/cell.

It has space group P-3m1 (No. 164), with a = 5.1441 Å, b = 5.1441 Å, c = 5.9272 Å, α = 90.00°, β = 90.00° and γ = 120.00°. Symmetry generates all atoms from Mg at (0.0000, 0.0000, 0.0000), Ni at (0.0000, 0.0000, 0.5000), S at (0.3333, 0.6667, 0.6794), O at (0.1741, 0.3482, 0.7659) and O at (0.3333, 0.6667, 0.4369).

***

# 6
Compound: MgNiSb2O8
Source: the Alexandria database
Functional: PBE+U
Structure: relaxed

The calculation puts the total energy at -62.33 eV/cell.

It has space group P-3 (No. 147), with a = 5.4638 Å, b = 5.4638 Å, c = 5.5336 Å, α = 90.00°, β = 90.00° and γ = 120.00°. Symmetry generates all atoms from Mg at (0.0000, 0.0000, 0.0000), Ni at (0.0000, 0.0000, 0.5000), Sb at (0.3333, 0.6667, 0.4339), O at (0.0473, 0.3495, 0.6693) and O at (0.3333, 0.6667, 0.0728).

***

# 7
Compound: MgScNi2O
Source: the Alexandria database
Functional: PBE+U
Structure: relaxed

The calculation puts the total energy at -15.67 eV/cell.

It has space group P4/mmm (No. 123), with a = 4.462 Å, b = 4.462 Å, c = 3.765 Å, α = 90.00°, β = 90.00° and γ = 90.00°. Symmetry generates all atoms from Mg at (0.000, 0.000, 0.000), Sc at (0.500, 0.500, 0.500), Ni at (0.000, 0.500, 0.000) and O at (0.000, 0.000, 0.500).

***

# 8
Compound: MgNi2SeO6
Source: the Alexandria database
Functional: PBE+U
Structure: relaxed

The calculation puts the total energy at -48.10 eV/cell.

It has space group P4mm (No. 99), with a = 5.142 Å, b = 5.142 Å, c = 4.626 Å, α = 90.00°, β = 90.00° and γ = 90.00°. Symmetry generates all atoms from Mg at (0.000, 0.000, 0.000), Ni at (0.000, 0.500, 0.386), Se at (0.500, 0.500, 0.052), O at (0.000, 0.000, 0.584), O at (0.265, 0.265, 0.178) and O at (0.500, 0.500, 0.695).

***

# 9
Compound: MgSiNiO5
Source: the Alexandria database
Functional: PBE+U
Structure: relaxed

The calculation puts the total energy at -97.54 eV/cell.

It has space group P-1 (No. 2), with a = 5.100 Å, b = 5.450 Å, c = 6.739 Å, α = 107.47°, β = 98.94° and γ = 109.83°. Symmetry generates all atoms from Mg at (0.138, 0.283, 0.225), Si at (0.185, 0.315, 0.744), Ni at (0.500, 0.000, 0.000), Ni at (0.500, 0.000, 0.500), O at (0.101, 0.795, 0.469), O at (0.177, 0.142, 0.905), O at (0.203, 0.631, 0.877), O at (0.397, 0.070, 0.255) and O at (0.476, 0.345, 0.654).

***

# 10
Compound: MgSiNiO4
Source: the Alexandria database
Functional: PBE+U
Structure: relaxed

The value obtained for the distance to the lowest polymorph of the same formula is 0 meV/atom.

It has space group Pnma (No. 62), with a = 10.206 Å, b = 6.021 Å, c = 4.797 Å, α = 90.00°, β = 90.00° and γ = 90.00°. Symmetry generates all atoms from Mg at (0.000, 0.000, 0.000), Si at (0.095, 0.250, 0.429), Ni at (0.226, 0.750, 0.495), O at (0.054, 0.750, 0.721), O at (0.091, 0.250, 0.769) and O at (0.164, 0.031, 0.277).

***

# 11
Compound: MgSiNiO4
Source: the Alexandria database
Functional: PBE+U
Structure: relaxed

The value obtained for the distance to the lowest polymorph of the same formula is 59 meV/atom.

It has space group Cmcm (No. 63), with a = 5.561 Å, b = 8.512 Å, c = 6.224 Å, α = 90.00°, β = 90.00° and γ = 90.00°. Symmetry generates all atoms from Mg at (0.000, 0.167, 0.250), Si at (0.000, 0.151, 0.750), Ni at (0.000, 0.500, 0.000), O at (0.000, 0.261, 0.537) and O at (0.232, 0.025, 0.750).

***

# 12
Compound: MgSi2NiO6
Source: the Alexandria database
Functional: PBE+U
Structure: relaxed

The value obtained for the distance to the lowest polymorph of the same formula is 0 meV/atom.

It has space group Pbca (No. 61), with a = 5.256 Å, b = 18.418 Å, c = 8.942 Å, α = 90.00°, β = 90.00° and γ = 90.00°. Symmetry generates all atoms from Mg at (0.122, 0.123, 0.152), Si at (0.066, 0.727, 0.659), Si at (0.216, 0.026, 0.837), Ni at (0.129, 0.125, 0.506), O at (0.050, 0.684, 0.161), O at (0.059, 0.688, 0.498), O at (0.083, 0.551, 0.701), O at (0.155, 0.197, 0.724), O at (0.191, 0.567, 0.987) and O at (0.213, 0.564, 0.339).